# 1
! Sc3OsS, optimized geometry, DFT PBE; values from VASP
&SYSTEM
  ibrav = 0, nat = 5, ntyp = 3
/
ATOMIC_SPECIES
Os 190.23 Os.upf
Sc 44.96 Sc.upf
S 32.06 S.upf
ATOMIC_POSITIONS crystal
Os 0.500 0.500 0.500
Sc 0.000 0.500 0.000
Sc 0.000 0.000 0.500
S 0.000 0.000 0.000
Sc 0.500 0.000 0.000
CELL_PARAMETERS angstrom
-0.484 -1.843 -4.277
-4.084 -1.899 1.280
-2.239 3.863 -1.412
! polymorph energy (0 for the lowest one)	0	meV/atom
! formation energy from raw total energies	-0.272	eV per atom
! theoretical density	5.78	Mg/m³

=====

# 2
! Sc2OsS, optimized geometry, DFT PBE; values from VASP
&SYSTEM
  ibrav = 0, nat = 8, ntyp = 3
/
ATOMIC_SPECIES
Sc 44.96 Sc.upf
Os 190.23 Os.upf
S 32.06 S.upf
ATOMIC_POSITIONS crystal
Sc 0.375 0.378 0.750
Os 0.750 0.250 0.500
Sc 0.622 0.125 0.250
S 0.250 0.750 0.500
Sc 0.875 0.872 0.750
S 0.500 0.500 0.000
Sc 0.128 0.625 0.250
Os 0.000 0.000 0.000
CELL_PARAMETERS angstrom
-4.231 3.646 3.676
-4.635 -0.550 -4.788
-5.714 -1.547 1.040
! formation energy from raw total energies	-0.341	eV per atom
! theoretical density	6.25	Mg/m³

=====

# 3
! Sc3OsS, optimized geometry, DFT PBE; values from VASP
&SYSTEM
  ibrav = 0, nat = 5, ntyp = 3
/
ATOMIC_SPECIES
Sc 44.96 Sc.upf
Os 190.23 Os.upf
S 32.06 S.upf
ATOMIC_POSITIONS crystal
Sc 0.500 0.000 0.000
Os 0.000 0.000 0.000
Sc 0.000 0.500 0.000
Sc 0.000 0.000 0.500
S 0.500 0.500 0.500
CELL_PARAMETERS angstrom
-2.990 3.302 -2.309
-2.770 -3.772 -1.809
-2.926 0.196 4.071
! polymorph energy (0 for the lowest one)	209	meV/atom
! formation energy from raw total energies	-0.063	eV per atom
! theoretical density	4.70	Mg/m³

=====

# 4
! OsSeS, optimized geometry, DFT PBE; values from VASP
&SYSTEM
  ibrav = 0, nat = 12, ntyp = 3
/
ATOMIC_SPECIES
Os 190.23 Os.upf
S 32.06 S.upf
Se 78.96 Se.upf
ATOMIC_POSITIONS crystal
Os 0.490 0.761 0.254
Os 0.510 0.239 0.746
S 0.374 0.861 0.641
Os 0.990 0.239 0.246
Os 0.010 0.761 0.754
S 0.626 0.139 0.359
S 0.874 0.139 0.859
S 0.126 0.861 0.141
Se 0.627 0.647 0.854
Se 0.373 0.353 0.146
Se 0.127 0.353 0.646
Se 0.873 0.647 0.354
CELL_PARAMETERS angstrom
-2.320 3.968 3.620
-5.533 -2.144 -1.196
1.809 -3.274 4.748
! polymorph energy (0 for the lowest one)	0	meV/atom
! formation energy from raw total energies	-0.243	eV per atom
! theoretical density	9.62	Mg/m³

=====

# 5
! OsSeS, optimized geometry, DFT PBE; values from VASP
&SYSTEM
  ibrav = 0, nat = 12, ntyp = 3
/
ATOMIC_SPECIES
Se 78.96 Se.upf
Os 190.23 Os.upf
S 32.06 S.upf
ATOMIC_POSITIONS crystal
Se 0.753 0.542 0.867
Os 0.451 0.462 0.487
S 0.261 0.038 0.876
Os 0.212 0.701 0.987
S 0.788 0.511 0.376
Se 0.676 0.886 0.133
S 0.135 0.412 0.624
Os 0.714 0.225 0.013
Os 0.975 0.964 0.513
Se 0.636 0.926 0.633
Se 0.292 0.003 0.367
S 0.162 0.385 0.124
CELL_PARAMETERS angstrom
5.757 0.538 -1.846
-2.627 5.150 -1.846
-0.168 -0.306 6.940
! polymorph energy (0 for the lowest one)	24	meV/atom
! formation energy from raw total energies	-0.218	eV per atom
! theoretical density	9.56	Mg/m³

=====

# 6
! OsSe3S, optimized geometry, DFT PBE; values from VASP
&SYSTEM
  ibrav = 0, nat = 5, ntyp = 3
/
ATOMIC_SPECIES
Se 78.96 Se.upf
S 32.06 S.upf
Os 190.23 Os.upf
ATOMIC_POSITIONS crystal
Se 0.000 0.000 0.500
Se 0.500 0.000 0.000
S 0.500 0.500 0.500
Os 0.000 0.000 0.000
Se 0.000 0.500 0.000
CELL_PARAMETERS angstrom
-2.262 3.925 1.740
-1.918 0.836 -4.378
-3.841 -2.728 1.162
! polymorph energy (0 for the lowest one)	0	meV/atom
! formation energy from raw total energies	0.850	eV per atom
! theoretical density	6.67	Mg/m³

=====

# 7
! OsSe2S, optimized geometry, DFT PBE; values from VASP
&SYSTEM
  ibrav = 0, nat = 4, ntyp = 3
/
ATOMIC_SPECIES
Se 78.96 Se.upf
S 32.06 S.upf
Os 190.23 Os.upf
ATOMIC_POSITIONS crystal
Se 0.909 0.909 0.909
S 0.500 0.500 0.500
Se 0.091 0.091 0.091
Os 0.000 0.000 0.000
CELL_PARAMETERS angstrom
1.800 0.000 8.616
-0.900 1.559 8.616
-0.900 -1.559 8.616
! formation energy from raw total energies	0.915	eV per atom
! theoretical density	8.71	Mg/m³

=====

# 8
! OsSe2S, optimized geometry, DFT PBE; values from VASP
&SYSTEM
  ibrav = 0, nat = 4, ntyp = 3
/
ATOMIC_SPECIES
S 32.06 S.upf
Se 78.96 Se.upf
Os 190.23 Os.upf
ATOMIC_POSITIONS crystal
S 0.000 0.000 0.000
Se 0.891 0.891 0.891
Se 0.109 0.109 0.109
Os 0.500 0.500 0.500
CELL_PARAMETERS angstrom
-6.615 0.702 3.693
-4.148 -0.192 6.375
-4.431 3.358 5.194
! formation energy from raw total energies	0.320	eV per atom
! theoretical density	7.10	Mg/m³

=====

# 9
! Os2SeS, optimized geometry, DFT PBE; values from VASP
&SYSTEM
  ibrav = 0, nat = 8, ntyp = 3
/
ATOMIC_SPECIES
Os 190.23 Os.upf
S 32.06 S.upf
Se 78.96 Se.upf
ATOMIC_POSITIONS crystal
Os 0.592 0.125 0.250
S 0.500 0.500 0.000
Se 0.000 0.000 0.000
Os 0.875 0.842 0.750
S 0.250 0.750 0.500
Os 0.158 0.625 0.250
Os 0.375 0.408 0.750
Se 0.750 0.250 0.500
CELL_PARAMETERS angstrom
5.322 0.000 0.000
0.000 5.322 0.000
2.661 2.661 5.417
! polymorph energy (0 for the lowest one)	0	meV/atom
! formation energy from raw total energies	0.445	eV per atom
! theoretical density	10.64	Mg/m³

=====

# 10
! Os2SeS, optimized geometry, DFT PBE; values from VASP
&SYSTEM
  ibrav = 0, nat = 4, ntyp = 3
/
ATOMIC_SPECIES
Os 190.23 Os.upf
Se 78.96 Se.upf
S 32.06 S.upf
ATOMIC_POSITIONS crystal
Os 0.750 0.750 0.750
Se 0.500 0.500 0.500
Os 0.250 0.250 0.250
S 0.000 0.000 0.000
CELL_PARAMETERS angstrom
0.000 3.074 3.074
3.074 0.000 3.074
3.074 3.074 0.000
! polymorph energy (0 for the lowest one)	358	meV/atom
! formation energy from raw total energies	0.802	eV per atom
! theoretical density	14.04	Mg/m³

=====

# 11
! OsSe2S, optimized geometry, DFT PBE; values from VASP
&SYSTEM
  ibrav = 0, nat = 8, ntyp = 3
/
ATOMIC_SPECIES
Se 78.96 Se.upf
S 32.06 S.upf
Os 190.23 Os.upf
ATOMIC_POSITIONS crystal
Se 0.081 0.625 0.250
S 0.250 0.750 0.500
Se 0.375 0.331 0.750
Se 0.875 0.919 0.750
Os 0.750 0.250 0.500
Se 0.669 0.125 0.250
Os 0.000 0.000 0.000
S 0.500 0.500 0.000
CELL_PARAMETERS angstrom
6.451 0.000 0.000
0.000 6.451 0.000
3.225 3.225 4.416
! formation energy from raw total energies	0.519	eV per atom
! theoretical density	6.87	Mg/m³

=====

# 12
! OsSe3S, optimized geometry, DFT PBE; values from VASP
&SYSTEM
  ibrav = 0, nat = 5, ntyp = 3
/
ATOMIC_SPECIES
Se 78.96 Se.upf
S 32.06 S.upf
Os 190.23 Os.upf
ATOMIC_POSITIONS crystal
Se 0.000 0.500 0.000
Se 0.500 0.000 0.000
S 0.000 0.000 0.000
Os 0.500 0.500 0.500
Se 0.000 0.000 0.500
CELL_PARAMETERS angstrom
-3.722 -2.540 -1.188
0.834 -2.888 3.560
-2.676 2.631 2.761
! polymorph energy (0 for the lowest one)	660	meV/atom
! formation energy from raw total energies	1.510	eV per atom
! theoretical density	7.54	Mg/m³

=====

# 13
! TaOs2SeS, optimized geometry, DFT PBE; values from VASP
&SYSTEM
  ibrav = 0, nat = 5, ntyp = 4
/
ATOMIC_SPECIES
Os 190.23 Os.upf
S 32.06 S.upf
Ta 180.95 Ta.upf
Se 78.96 Se.upf
ATOMIC_POSITIONS crystal
Os 0.500 0.000 0.000
Os 0.000 0.000 0.500
S 0.500 0.500 0.500
Ta 0.000 0.000 0.000
Se 0.000 0.500 0.000
CELL_PARAMETERS angstrom
-0.871 -0.887 4.745
-0.248 -4.725 -0.929
4.820 -0.412 0.808
! formation energy from raw total energies	1.979	eV per atom
! theoretical density	9.63	Mg/m³

=====

# 14
! TcOsSe2S, optimized geometry, DFT PBE; values from VASP
&SYSTEM
  ibrav = 0, nat = 5, ntyp = 4
/
ATOMIC_SPECIES
Tc 98.00 Tc.upf
Os 190.23 Os.upf
Se 78.96 Se.upf
S 32.06 S.upf
ATOMIC_POSITIONS crystal
Tc 0.000 0.500 0.000
Os 0.500 0.500 0.500
Se 0.500 0.000 0.000
S 0.000 0.000 0.000
Se 0.000 0.000 0.500
CELL_PARAMETERS angstrom
4.709 0.000 0.000
0.000 4.327 0.000
0.000 0.000 4.709
! formation energy from raw total energies	1.636	eV per atom
! theoretical density	8.28	Mg/m³

=====

# 15
! Th8Os3SeS4, optimized geometry, DFT PBE; values from VASP
&SYSTEM
  ibrav = 0, nat = 16, ntyp = 4
/
ATOMIC_SPECIES
Os 190.23 Os.upf
S 32.06 S.upf
Th 232.04 Th.upf
Se 78.96 Se.upf
ATOMIC_POSITIONS crystal
Os 0.500 0.500 0.500
S 0.000 0.000 0.000
Th 0.254 0.741 0.508
S 0.500 0.000 0.000
Th 0.254 0.741 0.987
S 0.000 0.000 0.500
Th 0.746 0.259 0.492
Os 0.000 0.500 0.500
Th 0.732 0.741 0.987
Se 0.000 0.500 0.000
Th 0.746 0.259 0.013
Th 0.742 0.726 0.484
S 0.500 0.000 0.500
Os 0.500 0.500 0.000
Th 0.258 0.274 0.516
Th 0.268 0.259 0.013
CELL_PARAMETERS angstrom
8.237 0.000 0.000
0.000 8.412 0.115
-4.118 -4.112 5.829
! formation energy from raw total energies	-1.203	eV per atom
! theoretical density	10.73	Mg/m³

=====

# 16
! Th8Os4SeS3, optimized geometry, DFT PBE; values from VASP
&SYSTEM
  ibrav = 0, nat = 16, ntyp = 4
/
ATOMIC_SPECIES
S 32.06 S.upf
Th 232.04 Th.upf
Os 190.23 Os.upf
Se 78.96 Se.upf
ATOMIC_POSITIONS crystal
S 0.500 0.500 0.500
Th 0.261 0.780 0.523
Th 0.739 0.220 0.477
Th 0.242 0.220 0.981
Os 0.000 0.000 0.000
Th 0.758 0.780 0.019
Os 0.000 0.000 0.500
Th 0.759 0.778 0.518
S 0.500 0.500 0.000
S 0.000 0.500 0.500
Os 0.500 0.000 0.000
Th 0.739 0.220 0.981
Os 0.500 0.000 0.500
Th 0.261 0.780 0.019
Th 0.241 0.222 0.482
Se 0.000 0.500 0.000
CELL_PARAMETERS angstrom
-6.815 -2.637 -3.709
-3.475 -1.802 7.667
2.722 7.609 -1.359
! formation energy from raw total energies	-1.039	eV per atom
! theoretical density	11.09	Mg/m³

=====

# 17
! Th4OsSe2S, optimized geometry, DFT PBE; values from VASP
&SYSTEM
  ibrav = 0, nat = 8, ntyp = 4
/
ATOMIC_SPECIES
S 32.06 S.upf
Th 232.04 Th.upf
Se 78.96 Se.upf
Os 190.23 Os.upf
ATOMIC_POSITIONS crystal
S 0.000 0.000 0.000
Th 0.500 0.754 0.769
Se 0.000 0.500 0.500
Se 0.500 0.000 0.500
Th 0.000 0.730 0.223
Th 0.000 0.270 0.777
Th 0.500 0.246 0.231
Os 0.500 0.500 0.000
CELL_PARAMETERS angstrom
-2.604 -0.461 3.111
1.481 -7.108 0.186
4.749 3.564 4.504
! formation energy from raw total energies	-1.353	eV per atom
! theoretical density	10.38	Mg/m³

=====

# 18
! Th4Os2SeS, optimized geometry, DFT PBE; values from VASP
&SYSTEM
  ibrav = 0, nat = 8, ntyp = 4
/
ATOMIC_SPECIES
Th 232.04 Th.upf
Se 78.96 Se.upf
S 32.06 S.upf
Os 190.23 Os.upf
ATOMIC_POSITIONS crystal
Th 0.500 0.259 0.281
Se 0.500 0.500 0.000
Th 0.500 0.741 0.719
S 0.000 0.000 0.000
Os 0.500 0.000 0.500
Th 0.000 0.236 0.716
Os 0.000 0.500 0.500
Th 0.000 0.764 0.284
CELL_PARAMETERS angstrom
-2.339 -3.283 0.766
3.617 -1.174 6.013
-5.895 4.578 1.620
! formation energy from raw total energies	-1.030	eV per atom
! theoretical density	11.13	Mg/m³

=====

# 19
! Th3OsSeS, optimized geometry, DFT PBE; values from VASP
&SYSTEM
  ibrav = 0, nat = 12, ntyp = 4
/
ATOMIC_SPECIES
Th 232.04 Th.upf
S 32.06 S.upf
Se 78.96 Se.upf
Os 190.23 Os.upf
ATOMIC_POSITIONS crystal
Th 0.750 0.831 0.932
S 0.750 0.010 0.252
Se 0.250 0.333 0.419
Os 0.750 0.322 0.915
Th 0.250 0.487 0.786
Th 0.750 0.513 0.214
Th 0.750 0.158 0.596
S 0.250 0.990 0.748
Os 0.250 0.678 0.085
Th 0.250 0.842 0.404
Se 0.750 0.667 0.581
Th 0.250 0.169 0.068
CELL_PARAMETERS angstrom
-1.815 3.526 0.904
-6.244 -1.184 -7.923
-4.738 -3.618 4.597
! formation energy from raw total energies	-1.246	eV per atom
! theoretical density	10.66	Mg/m³

=====

# 20
! Th6Os3Se2S, optimized geometry, DFT PBE; values from VASP
&SYSTEM
  ibrav = 0, nat = 12, ntyp = 4
/
ATOMIC_SPECIES
Th 232.04 Th.upf
Se 78.96 Se.upf
Os 190.23 Os.upf
S 32.06 S.upf
ATOMIC_POSITIONS crystal
Th 0.672 0.063 0.344
Se 0.167 0.335 0.334
Th 0.658 0.606 0.316
Th 0.342 0.394 0.684
Se 0.833 0.665 0.666
Th 0.328 0.937 0.656
Os 0.500 0.500 0.000
S 0.500 0.000 0.000
Th 0.008 0.734 0.016
Os 0.833 0.164 0.666
Th 0.992 0.266 0.984
Os 0.167 0.836 0.334
CELL_PARAMETERS angstrom
4.113 0.000 0.000
0.000 8.695 -0.014
-2.057 -2.845 8.967
! formation energy from raw total energies	-1.023	eV per atom
! theoretical density	11.15	Mg/m³

=====

# 21
! Th6OsSe2S3, optimized geometry, DFT PBE; values from VASP
&SYSTEM
  ibrav = 0, nat = 12, ntyp = 4
/
ATOMIC_SPECIES
S 32.06 S.upf
Th 232.04 Th.upf
Os 190.23 Os.upf
Se 78.96 Se.upf
ATOMIC_POSITIONS crystal
S 0.168 0.830 0.336
Th 0.335 0.932 0.671
Os 0.500 0.000 0.000
Se 0.168 0.334 0.336
S 0.832 0.170 0.664
Se 0.832 0.666 0.664
Th 0.998 0.234 0.995
S 0.500 0.500 0.000
Th 0.338 0.408 0.676
Th 0.002 0.766 0.005
Th 0.662 0.592 0.324
Th 0.665 0.068 0.329
CELL_PARAMETERS angstrom
-1.350 0.289 -3.809
3.786 -7.311 -1.897
-7.494 -2.843 4.595
! formation energy from raw total energies	-1.479	eV per atom
! theoretical density	10.12	Mg/m³

=====

# 22
! Tl2OsSeS, optimized geometry, DFT PBE; values from VASP
&SYSTEM
  ibrav = 0, nat = 5, ntyp = 4
/
ATOMIC_SPECIES
Tl 204.38 Tl.upf
Os 190.23 Os.upf
S 32.06 S.upf
Se 78.96 Se.upf
ATOMIC_POSITIONS crystal
Tl 0.500 0.000 0.000
Os 0.000 0.500 0.000
Tl 0.000 0.000 0.500
S 0.000 0.000 0.000
Se 0.500 0.500 0.500
CELL_PARAMETERS angstrom
6.001 0.000 0.000
0.000 4.277 0.000
0.000 0.000 6.001
! formation energy from raw total energies	0.675	eV per atom
! theoretical density	7.65	Mg/m³

=====

# 23
! YOsSeS2, optimized geometry, DFT PBE; values from VASP
&SYSTEM
  ibrav = 0, nat = 5, ntyp = 4
/
ATOMIC_SPECIES
S 32.06 S.upf
Os 190.23 Os.upf
Y 88.91 Y.upf
Se 78.96 Se.upf
ATOMIC_POSITIONS crystal
S 0.500 0.000 0.000
Os 0.500 0.500 0.500
Y 0.000 0.500 0.000
S 0.000 0.000 0.500
Se 0.000 0.000 0.000
CELL_PARAMETERS angstrom
-0.882 4.520 -1.280
1.161 -1.219 -5.103
-4.583 -1.114 -0.776
! formation energy from raw total energies	0.979	eV per atom
! theoretical density	5.71	Mg/m³

=====

# 24
! Si3OsS, optimized geometry, DFT PBE; values from VASP
&SYSTEM
  ibrav = 0, nat = 5, ntyp = 3
/
ATOMIC_SPECIES
Si 28.09 Si.upf
S 32.06 S.upf
Os 190.23 Os.upf
ATOMIC_POSITIONS crystal
Si 0.500 0.000 0.000
Si 0.000 0.500 0.000
S 0.500 0.500 0.500
Os 0.000 0.000 0.000
Si 0.000 0.000 0.500
CELL_PARAMETERS angstrom
-1.107 -1.093 4.356
3.617 -2.877 0.198
2.663 3.454 1.543
! polymorph energy (0 for the lowest one)	0	meV/atom
! formation energy from raw total energies	0.254	eV per atom
! theoretical density	5.14	Mg/m³

=====

# 25
! SiOsS2, optimized geometry, DFT PBE; values from VASP
&SYSTEM
  ibrav = 0, nat = 4, ntyp = 3
/
ATOMIC_SPECIES
S 32.06 S.upf
Si 28.09 Si.upf
Os 190.23 Os.upf
ATOMIC_POSITIONS crystal
S 0.889 0.889 0.889
Si 0.000 0.000 0.000
S 0.111 0.111 0.111
Os 0.500 0.500 0.500
CELL_PARAMETERS angstrom
2.028 0.000 7.283
-1.014 1.756 7.283
-1.014 -1.756 7.283
! formation energy from raw total energies	0.298	eV per atom
! theoretical density	6.03	Mg/m³